*A*
# K2Gd (GGA-PBE, optimized geometry)
data_K2Gd
_chemical_formula_sum 'K4 Gd2'
_symmetry_space_group_name_H-M 'P 1'
_symmetry_Int_Tables_number 1
_cell_length_a 7.4140
_cell_length_b 7.4140
_cell_length_c 7.4140
_cell_angle_alpha 60.00
_cell_angle_beta 60.00
_cell_angle_gamma 60.00
loop_
_symmetry_equiv_pos_as_xyz
'x,y,z'
loop_
_atom_site_label
_atom_site_fract_x
_atom_site_fract_y
_atom_site_fract_z
K1 0.0000 0.0000 0.0000
K2 0.0000 0.0000 0.5000
K3 0.0000 0.5000 0.0000
K4 0.5000 0.0000 0.0000
Gd1 0.3750 0.3750 0.3750
Gd2 0.6250 0.6250 0.6250
# - volume (Å³ per atom) = 48.03

*B*
# K2Gd (GGA-PBE, optimized geometry)
data_K2Gd
_chemical_formula_sum 'K2 Gd1'
_symmetry_space_group_name_H-M 'P 1'
_symmetry_Int_Tables_number 1
_cell_length_a 6.6436
_cell_length_b 6.6436
_cell_length_c 6.6436
_cell_angle_alpha 60.00
_cell_angle_beta 60.00
_cell_angle_gamma 60.00
loop_
_symmetry_equiv_pos_as_xyz
'x,y,z'
loop_
_atom_site_label
_atom_site_fract_x
_atom_site_fract_y
_atom_site_fract_z
K1 0.2500 0.2500 0.2500
K2 0.7500 0.7500 0.7500
Gd1 0.0000 0.0000 0.0000
# - volume (Å³ per atom) = 69.12

Short version: *A*, *B*, most stable first.